Record 1
This record from Alexandria via LeMat-Bulk describes K3Sm3NbSe8 after structural relaxation. The functional is PBE-GGA.

Properties
- V (Å³/atom) = 31.5
- VASP energy (eV per atom) = -5.1961
- space-group type = No. 166

Unit cell a=9.2222 b=9.2222 c=9.2222 alpha=53.62 beta=53.62 gamma=53.62
With the nearest neighbours (Å) after each atom.
Atoms (fractional coordinates):
K1 0.0000 0.5000 0.5000  6 Se 3.31-3.33
K2 0.5000 0.0000 0.5000  6 Se 3.31-3.33
K3 0.5000 0.5000 0.0000  6 Se 3.31-3.33
Sm1 0.0000 0.0000 0.5000  6 Se 2.92-2.94
Sm2 0.0000 0.5000 0.0000  6 Se 2.92-2.94
Sm3 0.5000 0.0000 0.0000  6 Se 2.92-2.94
Nb1 0.5000 0.5000 0.5000  6 Se 2.70
Se1 0.2370 0.2370 0.2370  3 Sm 2.92
Se2 0.2581 0.7190 0.7190  1 Nb 2.70, 2 Sm 2.94
Se3 0.2810 0.2810 0.7419  1 Nb 2.70, 2 Sm 2.94
Se4 0.2810 0.7419 0.2810  1 Nb 2.70, 2 Sm 2.94
Se5 0.7190 0.2581 0.7190  1 Nb 2.70, 2 Sm 2.94
Se6 0.7190 0.7190 0.2581  1 Nb 2.70, 2 Sm 2.94
Se7 0.7419 0.2810 0.2810  1 Nb 2.70, 2 Sm 2.94
Se8 0.7630 0.7630 0.7630  3 Sm 2.92

Record 2
This record from Alexandria via LeMat-Bulk describes SmHoZn2 after structural relaxation. The functional is PBE-GGA.

Properties
- excess energy over the best structure of this formula in the dataset (meV/atom) = 0
- V (Å³/atom) = 23.3
- space-group type = No. 225
- energy of formation (eV per atom) = -0.329

Unit cell a=7.1982 b=7.1982 c=7.1982 alpha=90.00 beta=90.00 gamma=90.00
With the nearest neighbours (Å) after each atom.
Atoms (fractional coordinates):
Sm1 0.0000 0.0000 0.0000  8 Zn 3.12
Sm2 0.0000 0.5000 0.5000  8 Zn 3.12
Sm3 0.5000 0.0000 0.5000  8 Zn 3.12
Sm4 0.5000 0.5000 0.0000  8 Zn 3.12
Ho1 0.0000 0.0000 0.5000  8 Zn 3.12
Ho2 0.0000 0.5000 0.0000  8 Zn 3.12
Ho3 0.5000 0.0000 0.0000  8 Zn 3.12
Ho4 0.5000 0.5000 0.5000  8 Zn 3.12
Zn1 0.2500 0.2500 0.2500  4 Ho 3.12, 4 Sm 3.12
Zn2 0.2500 0.2500 0.7500  4 Ho 3.12, 4 Sm 3.12
Zn3 0.2500 0.7500 0.2500  4 Ho 3.12, 4 Sm 3.12
Zn4 0.2500 0.7500 0.7500  4 Ho 3.12, 4 Sm 3.12
Zn5 0.7500 0.2500 0.2500  4 Ho 3.12, 4 Sm 3.12
Zn6 0.7500 0.2500 0.7500  4 Ho 3.12, 4 Sm 3.12
Zn7 0.7500 0.7500 0.2500  4 Ho 3.12, 4 Sm 3.12
Zn8 0.7500 0.7500 0.7500  4 Sm 3.12, 4 Ho 3.12

Record 3
This record from Alexandria via LeMat-Bulk describes Al2SiPd8 after structural relaxation. The functional is PBE-GGA.

Properties
- excess energy over the best structure of this formula in the dataset (meV/atom) = 0
- V (Å³/atom) = 15.2
- space-group type = No. 12

Unit cell a=7.9926 b=7.9926 c=5.5083 alpha=105.16 beta=105.16 gamma=29.53
With the nearest neighbours (Å) after each atom.
Atoms (fractional coordinates):
Al1 0.1829 0.1829 0.2253  9 Pd 2.49-2.69
Al2 0.8171 0.8171 0.7747  9 Pd 2.49-2.69
Si1 0.5000 0.5000 0.5000  8 Pd 2.39-2.49
Pd1 0.0233 0.0233 0.2653  2 Si 2.49, 1 Al 2.53
Pd2 0.2143 0.2143 0.8058  3 Al 2.49-2.62, 2 Pd 2.75
Pd3 0.3487 0.3487 0.5314  1 Si 2.39, 3 Al 2.56-2.66
Pd4 0.4010 0.4010 0.0625  1 Si 2.48, 2 Al 2.69
Pd5 0.5990 0.5990 0.9375  1 Si 2.48, 2 Al 2.69
Pd6 0.6513 0.6513 0.4686  1 Si 2.39, 3 Al 2.56-2.66
Pd7 0.7857 0.7857 0.1942  3 Al 2.49-2.62, 2 Pd 2.75
Pd8 0.9767 0.9767 0.7347  2 Si 2.49, 1 Al 2.53

Record 4
This record from Alexandria via LeMat-Bulk describes SnHgSe2N after structural relaxation. The functional is PBE-GGA.

Properties
- excess energy over the best structure of this formula in the dataset (meV/atom) = 248
- V (Å³/atom) = 24.6
- space-group type = No. 123

Unit cell a=5.4279 b=5.4279 c=4.1824 alpha=90.00 beta=90.00 gamma=90.00
With the nearest neighbours (Å) after each atom.
Atoms (fractional coordinates):
Sn1 0.0000 0.0000 0.0000  8 Se 3.43
Hg1 0.5000 0.5000 0.5000  2 N 2.09
Se1 0.0000 0.5000 0.5000  2 Hg 2.71
Se2 0.5000 0.0000 0.5000  2 Hg 2.71
N1 0.5000 0.5000 0.0000  2 Hg 2.09

Record 5
This record from Alexandria via LeMat-Bulk describes LiSiSe2 after structural relaxation. The functional is PBE-GGA.

Properties
- V (Å³/atom) = 18.6
- VASP energy (eV per atom) = -3.7156
- space-group type = No. 65

Unit cell a=5.8712 b=7.1343 c=3.5599 alpha=90.00 beta=90.00 gamma=90.00
With the nearest neighbours (Å) after each atom.
Atoms (fractional coordinates):
Li1 0.0000 0.0000 0.0000  8 Se 2.92, 2 Si 2.94
Li2 0.5000 0.5000 0.0000  8 Se 2.92, 2 Si 2.94
Si1 0.0000 0.5000 0.0000  8 Se 2.92, 2 Li 2.94
Si2 0.5000 0.0000 0.0000  8 Se 2.92, 2 Li 2.94
Se1 0.2500 0.2500 0.5000  4 Li 2.92, 4 Si 2.92, 2 Se 2.94
Se2 0.2500 0.7500 0.5000  4 Li 2.92, 4 Si 2.92, 2 Se 2.94
Se3 0.7500 0.2500 0.5000  4 Li 2.92, 4 Si 2.92, 2 Se 2.94
Se4 0.7500 0.7500 0.5000  4 Li 2.92, 4 Si 2.92, 2 Se 2.94

Record 6
This record from Alexandria via LeMat-Bulk describes NbHPtAu2 after structural relaxation. The functional is PBE-GGA.

Properties
- V (Å³/atom) = 16.8
- VASP energy (eV per atom) = -4.7892
- space-group type = No. 123

Unit cell a=5.2009 b=5.2009 c=3.1054 alpha=90.00 beta=90.00 gamma=90.00
With the nearest neighbours (Å) after each atom.
Atoms (fractional coordinates):
Nb1 0.0000 0.0000 0.0000  8 Au 3.03, 2 Nb 3.11
H1 0.5000 0.5000 0.0000  2 Pt 1.55
Pt1 0.5000 0.5000 0.5000  2 H 1.55
Au1 0.0000 0.5000 0.5000  2 Pt 2.60
Au2 0.5000 0.0000 0.5000  2 Pt 2.60

Record 7
This record from Alexandria via LeMat-Bulk describes GaFe2Si after structural relaxation. The functional is PBE-GGA.

Properties
- V (Å³/atom) = 11.2
- VASP energy (eV per atom) = -6.6336
- space-group type = No. 123

Unit cell a=2.8009 b=2.8009 c=5.7357 alpha=90.00 beta=90.00 gamma=90.00
With the nearest neighbours (Å) after each atom.
Atoms (fractional coordinates):
Ga1 0.0000 0.0000 0.0000  8 Fe 2.51, 4 Ga 2.80
Fe1 0.5000 0.5000 0.2680  4 Si 2.39, 4 Ga 2.51, 1 Fe 2.66
Fe2 0.5000 0.5000 0.7320  4 Si 2.39, 4 Ga 2.51, 1 Fe 2.66
Si1 0.0000 0.0000 0.5000  8 Fe 2.39

Record 8
This record from Alexandria via LeMat-Bulk describes NdY6Tm2 after structural relaxation. The functional is PBE-GGA.

Properties
- excess energy over the best structure of this formula in the dataset (meV/atom) = 0
- V (Å³/atom) = 32.5
- space-group type = No. 12
- energy of formation (eV per atom) = 0.063

Unit cell a=6.5831 b=6.5831 c=13.1091 alpha=106.40 beta=106.40 gamma=32.61
With the nearest neighbours (Å) after each atom.
Atoms (fractional coordinates):
Nd1 0.0000 0.0000 0.0000  6 Y 3.66-3.71, 2 Nd 3.70, 4 Tm 3.87
Y1 0.0349 0.0349 0.6901  8 Y 3.39-3.70, 3 Tm 3.44-3.57
Y2 0.3018 0.3018 0.1076  6 Y 3.30-3.70, 2 Tm 3.43, 1 Nd 3.66
Y3 0.3545 0.3545 0.4771  9 Y 3.42-3.70, 3 Tm 3.63-3.65
Y4 0.6455 0.6455 0.5229  9 Y 3.42-3.70, 3 Tm 3.63-3.65
Y5 0.6982 0.6982 0.8924  6 Y 3.30-3.70, 2 Tm 3.43, 1 Nd 3.66
Y6 0.9651 0.9651 0.3099  8 Y 3.39-3.70, 3 Tm 3.44-3.57
Tm1 0.3293 0.3293 0.7455  8 Y 3.43-3.65, 2 Tm 3.70
Tm2 0.6707 0.6707 0.2545  8 Y 3.43-3.65, 2 Tm 3.70

| no. | density (g/cm³) |
| --- | --- |
| 1 | 4.550 |
| 2 | 7.945 |
| 3 | 9.284 |
| 4 | 6.620 |
| 5 | 4.297 |
| 6 | 13.500 |
| 7 | 7.731 |
| 8 | 5.763 |